The following is a GGA-PBEsol calculation of a geometry-optimized Ba2SbCl structure, from the Alexandria database.

Cell lengths 5.6877, 5.6877, 5.6877 Å; angles 60.00, 60.00, 60.00 degrees
Last column: nearest neighbours and their distance in Å.
Atoms (fractional coordinates):
Ba: 0.0000 0.0000 0.0000  4 Ba 3.48, 4 Cl 3.48
Ba: 0.2500 0.2500 0.2500  4 Ba 3.48, 4 Sb 3.48
Sb: 0.5000 0.5000 0.5000  4 Ba 3.48, 4 Cl 3.48
Cl: 0.7500 0.7500 0.7500  4 Ba 3.48, 4 Sb 3.48

**Energy relative to the elements, uncorrected**: -0.894 eV per atom
**DOS(E_F)**: 0.1 states/eV per cell
**Volume**: 130.1 Å³ per cell